AlB2Pb: relaxed, PBE.

Cell lengths 4.432, 4.432, 4.432 Å; angles 60.00, 60.00, 60.00 degrees
Fractional positions:
Al: 0.000 0.000 0.000
Pb: 0.500 0.500 0.500
B: 0.750 0.750 0.750
B: 0.250 0.250 0.250

Results
ρ, g/cm3: 6.90
Formation energy from the elements, kcal/mol of atoms: 34.33
Space group: Fm-3m, No. 225
VASP energy, eV/atom: -3.713
Total magnetic moment, μB per formula unit: 0.00
Excess energy over the best structure of this formula in the dataset, eV per atom: 0.532

AlB2Pb: relaxed, PBE.

Cell lengths 4.495, 4.495, 7.391 Å; angles 72.30, 72.30, 90.00 degrees
Fractional positions:
Al: 0.500 0.500 0.000
Al: 0.250 0.750 0.500
B: 0.242 0.625 0.250
B: 0.508 0.125 0.250
B: 0.875 0.758 0.750
B: 0.375 0.492 0.750
Pb: 0.000 0.000 0.000
Pb: 0.750 0.250 0.500

Results
ρ, g/cm3: 6.30
Formation energy from the elements, kcal/mol of atoms: 22.06
Space group: I-42d, No. 122
VASP energy, eV/atom: -4.245
Total magnetic moment, μB per formula unit: 0.00
Excess energy over the best structure of this formula in the dataset, eV per atom: 0.000

AlB2Pb: relaxed, PBE.

Cell lengths 4.511, 4.511, 4.511 Å; angles 60.00, 60.00, 60.00 degrees
Fractional positions:
Al: 0.500 0.500 0.500
B: 0.000 0.000 0.000
B: 0.250 0.250 0.250
Pb: 0.750 0.750 0.750

Results
ρ, g/cm3: 6.55
Formation energy from the elements, kcal/mol of atoms: 40.10
Space group: F-43m, No. 216
VASP energy, eV/atom: -3.462
Total magnetic moment, μB per formula unit: 0.00
Excess energy over the best structure of this formula in the dataset, eV per atom: 0.782

AlBPbS2: relaxed, PBE.

Cell lengths 5.309, 5.354, 5.309 Å; angles 90.00, 90.00, 90.00 degrees
Fractional positions:
S: 0.500 0.000 0.000
S: 0.000 0.000 0.500
Al: 0.000 0.500 0.000
B: 0.500 0.500 0.500
Pb: 0.000 0.000 0.000

Results
ρ, g/cm3: 3.40
Space group: P4/mmm, No. 123
VASP energy, eV/atom: -2.905
Total magnetic moment, μB per formula unit: 0.00

Sc2AlBPb: relaxed, PBE.

Cell lengths 5.318, 3.915, 5.318 Å; angles 90.00, 90.00, 90.00 degrees
Fractional positions:
B: 0.000 0.500 0.000
Al: 0.000 0.000 0.000
Pb: 0.500 0.500 0.500
Sc: 0.500 0.000 0.000
Sc: 0.000 0.000 0.500

Results
ρ, g/cm3: 5.02
Formation energy from the elements, kcal/mol of atoms: 10.65
Space group: P4/mmm, No. 123
VASP energy, eV/atom: -4.897
Total magnetic moment, μB per formula unit: 0.00
Excess energy over the best structure of this formula in the dataset, eV per atom: 0.850

Sc2AlBPb: relaxed, PBE.

Cell lengths 4.764, 4.764, 4.173 Å; angles 90.00, 90.00, 90.00 degrees
Fractional positions:
Sc: 0.000 0.500 0.000
Sc: 0.500 0.000 0.000
B: 0.000 0.000 0.000
Al: 0.000 0.000 0.500
Pb: 0.500 0.500 0.500

Results
ρ, g/cm3: 5.87
Formation energy from the elements, kcal/mol of atoms: -8.95
Space group: P4/mmm, No. 123
VASP energy, eV/atom: -5.746
Total magnetic moment, μB per formula unit: 0.00
Excess energy over the best structure of this formula in the dataset, eV per atom: 0.000

Y2AlBPb: relaxed, PBE.

Cell lengths 5.175, 5.175, 4.157 Å; angles 90.00, 90.00, 90.00 degrees
Fractional positions:
Al: 0.000 0.000 0.500
Y: 0.500 0.000 0.000
Y: 0.000 0.500 0.000
Pb: 0.500 0.500 0.500
B: 0.000 0.000 0.000

Results
ρ, g/cm3: 6.31
Formation energy from the elements, kcal/mol of atoms: -9.01
Space group: P4/mmm, No. 123
VASP energy, eV/atom: -5.802
Total magnetic moment, μB per formula unit: 0.00

Al2BPd8: relaxed, PBE.

Cell lengths 4.388, 5.506, 7.398 Å; angles 110.45, 107.25, 90.00 degrees
Fractional positions:
Pd: 0.358 0.066 0.716
Pd: 0.984 0.230 0.968
Pd: 0.598 0.397 0.197
Pd: 0.201 0.268 0.402
Pd: 0.799 0.732 0.598
Pd: 0.642 0.934 0.284
Pd: 0.402 0.603 0.803
Pd: 0.016 0.770 0.032
Al: 0.820 0.300 0.640
Al: 0.180 0.700 0.360
B: 0.500 0.000 0.000

Results
ρ, g/cm3: 9.58
Formation energy from the elements, kcal/mol of atoms: -10.78
Space group: C2/m, No. 12
VASP energy, eV/atom: -5.532
Total magnetic moment, μB per formula unit: 0.00

AlB2Pd8: relaxed, PBE.

Cell lengths 4.299, 6.222, 6.222 Å; angles 110.36, 98.27, 98.27 degrees
Fractional positions:
Pd: 0.911 0.936 0.672
Pd: 0.500 0.751 0.249
Pd: 0.500 0.249 0.751
Pd: 0.699 0.382 0.382
Pd: 0.089 0.064 0.328
Pd: 0.301 0.618 0.618
Pd: 0.911 0.672 0.936
Pd: 0.089 0.328 0.064
Al: 0.500 0.000 0.000
B: 0.000 0.679 0.321
B: 0.000 0.321 0.679

Results
ρ, g/cm3: 9.90
Formation energy from the elements, kcal/mol of atoms: -7.02
Space group: C2/m, No. 12
VASP energy, eV/atom: -5.635
Total magnetic moment, μB per formula unit: 0.00

Al5B2Pd12: relaxed, PBE.

Cell lengths 5.577, 8.709, 6.977 Å; angles 119.18, 90.00, 108.67 degrees
Fractional positions:
Al: 0.752 0.503 0.004
Al: 0.000 0.000 0.500
Al: 0.759 0.518 0.508
Al: 0.248 0.497 0.996
Al: 0.241 0.482 0.492
Pd: 0.104 0.697 0.874
Pd: 0.894 0.300 0.635
Pd: 0.490 0.980 0.274
Pd: 0.407 0.303 0.126
Pd: 0.593 0.697 0.874
Pd: 0.510 0.020 0.726
Pd: 0.406 0.300 0.635
Pd: 0.896 0.303 0.126
Pd: 0.106 0.700 0.365
Pd: 0.968 0.935 0.785
Pd: 0.032 0.065 0.215
Pd: 0.594 0.700 0.365
B: 0.669 0.000 0.000
B: 0.331 0.000 0.000

Results
ρ, g/cm3: 8.65
Formation energy from the elements, kcal/mol of atoms: -12.64
Space group: C2/m, No. 12
VASP energy, eV/atom: -5.515
Total magnetic moment, μB per formula unit: 0.00

AlBPd6: relaxed, PBE.

Cell lengths 5.376, 5.391, 5.747 Å; angles 62.17, 62.22, 60.02 degrees
Fractional positions:
Pd: 0.572 0.202 0.242
Pd: 0.798 0.015 0.758
Pd: 0.428 0.798 0.758
Pd: 0.015 0.428 0.759
Pd: 0.202 0.985 0.242
Pd: 0.985 0.572 0.241
Al: 0.500 0.500 0.500
B: 0.000 0.000 0.000

Results
ρ, g/cm3: 9.24
Formation energy from the elements, kcal/mol of atoms: -6.60
Space group: P-1, No. 2
VASP energy, eV/atom: -5.483
Total magnetic moment, μB per formula unit: 0.00

AlB3Pd: relaxed, PBE.

Cell lengths 4.117, 4.117, 4.117 Å; angles 90.00, 90.00, 90.00 degrees
Fractional positions:
B: 0.000 0.500 0.000
B: 0.500 0.000 0.000
B: 0.000 0.000 0.500
Pd: 0.000 0.000 0.000
Al: 0.500 0.500 0.500

Results
ρ, g/cm3: 3.95
Formation energy from the elements, kcal/mol of atoms: 32.17
Space group: Pm-3m, No. 221
VASP energy, eV/atom: -4.399
Total magnetic moment, μB per formula unit: 0.00
Excess energy over the best structure of this formula in the dataset, eV per atom: 0.000

AlB2Pd: relaxed, PBE.

Cell lengths 5.255, 5.255, 5.565 Å; angles 61.83, 61.83, 90.00 degrees
Fractional positions:
Pd: 0.750 0.250 0.500
Pd: 0.000 0.000 0.000
B: 0.647 0.125 0.250
B: 0.375 0.353 0.750
B: 0.875 0.897 0.750
B: 0.103 0.625 0.250
Al: 0.500 0.500 0.000
Al: 0.250 0.750 0.500

Results
ρ, g/cm3: 4.50
Formation energy from the elements, kcal/mol of atoms: 16.01
Space group: I-42d, No. 122
VASP energy, eV/atom: -4.879
Total magnetic moment, μB per formula unit: 0.00

Al6BPd12: relaxed, PBE.

Cell lengths 6.775, 6.775, 6.775 Å; angles 99.78, 99.78, 99.78 degrees
Fractional positions:
Pd: 0.049 0.035 0.320
Pd: 0.467 0.806 0.574
Pd: 0.320 0.049 0.035
Pd: 0.426 0.533 0.194
Pd: 0.806 0.574 0.467
Pd: 0.035 0.320 0.049
Pd: 0.951 0.965 0.680
Pd: 0.194 0.426 0.533
Pd: 0.533 0.194 0.426
Pd: 0.965 0.680 0.951
Pd: 0.574 0.467 0.806
Pd: 0.680 0.951 0.965
Al: 0.687 0.324 0.122
Al: 0.324 0.122 0.687
Al: 0.313 0.676 0.878
Al: 0.676 0.878 0.313
Al: 0.878 0.313 0.676
Al: 0.122 0.687 0.324
B: 0.000 0.000 0.000

Results
ρ, g/cm3: 8.14
Formation energy from the elements, kcal/mol of atoms: -13.31
Space group: R-3, No. 148
VASP energy, eV/atom: -5.390
Total magnetic moment, μB per formula unit: 0.00

Al2BPd: relaxed, PBE.

Cell lengths 4.162, 4.162, 7.761 Å; angles 74.45, 74.45, 90.00 degrees
Fractional positions:
Al: 0.375 0.425 0.750
Al: 0.875 0.825 0.750
Al: 0.175 0.625 0.250
Al: 0.575 0.125 0.250
Pd: 0.000 0.000 0.000
Pd: 0.750 0.250 0.500
B: 0.500 0.500 0.000
B: 0.250 0.750 0.500

Results
ρ, g/cm3: 4.57
Formation energy from the elements, kcal/mol of atoms: 6.14
Space group: I-42d, No. 122
VASP energy, eV/atom: -4.573
Total magnetic moment, μB per formula unit: 0.00

AlB3Pd: relaxed, PBE.

Cell lengths 4.092, 4.092, 4.092 Å; angles 90.00, 90.00, 90.00 degrees
Fractional positions:
B: 0.000 0.500 0.000
B: 0.000 0.000 0.500
B: 0.500 0.000 0.000
Pd: 0.500 0.500 0.500
Al: 0.000 0.000 0.000

Results
ρ, g/cm3: 4.02
Formation energy from the elements, kcal/mol of atoms: 40.88
Space group: Pm-3m, No. 221
VASP energy, eV/atom: -4.021
Total magnetic moment, μB per formula unit: 0.00
Excess energy over the best structure of this formula in the dataset, eV per atom: 0.378

AlB2Pd2: relaxed, PBE.

Cell lengths 3.898, 3.898, 4.850 Å; angles 66.30, 66.30, 90.00 degrees
Fractional positions:
B: 0.398 0.398 0.204
B: 0.602 0.602 0.796
Pd: 0.750 0.250 0.500
Pd: 0.250 0.750 0.500
Al: 0.000 0.000 0.000

Results
ρ, g/cm3: 7.16
Formation energy from the elements, kcal/mol of atoms: -0.79
Space group: I4/mmm, No. 139
VASP energy, eV/atom: -5.531
Total magnetic moment, μB per formula unit: 0.00
Excess energy over the best structure of this formula in the dataset, eV per atom: 0.086

AlB2Pd2: relaxed, PBE.

Cell lengths 6.197, 6.197, 3.046 Å; angles 90.00, 90.00, 90.00 degrees
Fractional positions:
Pd: 0.770 0.270 0.500
Pd: 0.270 0.230 0.500
Pd: 0.730 0.770 0.500
Pd: 0.230 0.730 0.500
B: 0.592 0.092 0.000
B: 0.092 0.408 0.000
B: 0.908 0.592 0.000
B: 0.408 0.908 0.000
Al: 0.000 0.000 0.000
Al: 0.500 0.500 0.000

Results
ρ, g/cm3: 7.42
Formation energy from the elements, kcal/mol of atoms: -2.78
Space group: P4/mbm, No. 127
VASP energy, eV/atom: -5.617
Total magnetic moment, μB per formula unit: 0.00
Excess energy over the best structure of this formula in the dataset, eV per atom: 0.000

Pr2AlBPd6: relaxed, PBE.

Cell lengths 5.816, 7.158, 5.803 Å; angles 66.41, 59.94, 89.96 degrees
Fractional positions:
Pd: 0.733 0.691 0.532
Pd: 0.733 0.687 0.051
Pd: 0.267 0.313 0.949
Pd: 0.786 0.314 0.948
Pd: 0.214 0.686 0.052
Pd: 0.267 0.309 0.468
Al: 0.000 0.000 0.000
Pr: 0.276 0.834 0.447
Pr: 0.724 0.166 0.553
B: 0.500 0.500 0.000

Results
ρ, g/cm3: 8.58
Formation energy from the elements, kcal/mol of atoms: -16.45
Space group: P-1, No. 2
VASP energy, eV/atom: -5.827
Total magnetic moment, μB per formula unit: 0.00

AlB2PdPt: relaxed, PBE.

Cell lengths 4.010, 5.072, 4.010 Å; angles 90.00, 90.00, 90.00 degrees
Fractional positions:
Al: 0.000 0.500 0.000
B: 0.000 0.000 0.500
B: 0.500 0.000 0.000
Pt: 0.000 0.000 0.000
Pd: 0.500 0.500 0.500

Results
ρ, g/cm3: 7.13
Formation energy from the elements, kcal/mol of atoms: 12.92
Space group: P4/mmm, No. 123
VASP energy, eV/atom: -5.106
Total magnetic moment, μB per formula unit: 0.00

Sr2AlBPd6: relaxed, PBE.

Cell lengths 6.488, 6.488, 6.480 Å; angles 59.96, 59.96, 90.08 degrees
Fractional positions:
Pd: 0.731 0.269 0.000
Pd: 0.731 0.731 0.000
Pd: 0.731 0.731 0.538
Pd: 0.269 0.269 0.462
Pd: 0.269 0.269 0.000
Pd: 0.269 0.731 0.000
Sr: 0.250 0.750 0.500
Sr: 0.750 0.250 0.500
Al: 0.000 0.000 0.000
B: 0.500 0.500 0.000

Results
ρ, g/cm3: 7.35
Formation energy from the elements, kcal/mol of atoms: -11.85
Space group: I4/mmm, No. 139
VASP energy, eV/atom: -5.008
Total magnetic moment, μB per formula unit: 0.00

Al2BTePd: relaxed, PBE.

Cell lengths 4.193, 4.193, 4.752 Å; angles 90.00, 90.00, 90.00 degrees
Fractional positions:
Te: 0.500 0.500 0.500
Pd: 0.000 0.000 0.500
Al: 0.500 0.000 0.000
Al: 0.000 0.500 0.000
B: 0.000 0.000 0.000

Results
ρ, g/cm3: 5.94
Space group: P4/mmm, No. 123
VASP energy, eV/atom: -4.414
Total magnetic moment, μB per formula unit: 0.00

Pm3AlB: relaxed, PBE.

Cell lengths 5.141, 5.141, 5.141 Å; angles 90.00, 90.00, 90.00 degrees
Fractional positions:
Pm: 0.500 0.000 0.000
Pm: 0.000 0.000 0.500
Pm: 0.000 0.500 0.000
Al: 0.500 0.500 0.500
B: 0.000 0.000 0.000

Results
ρ, g/cm3: 5.78
Formation energy from the elements, kcal/mol of atoms: -1.23
Space group: Pm-3m, No. 221
VASP energy, eV/atom: -4.987
Total magnetic moment, μB per formula unit: 0.00

Pm2AlB10: relaxed, PBE.

Cell lengths 4.216, 5.711, 11.348 Å; angles 90.00, 90.00, 90.00 degrees
Fractional positions:
B: 0.000 0.878 0.458
B: 0.000 0.149 0.696
B: 0.301 0.788 0.883
B: 0.699 0.788 0.883
B: 0.000 0.455 0.692
B: 0.301 0.212 0.117
B: 0.699 0.212 0.117
B: 0.000 0.545 0.308
B: 0.699 0.288 0.617
B: 0.000 0.122 0.542
B: 0.000 0.045 0.192
B: 0.301 0.712 0.383
B: 0.000 0.378 0.042
B: 0.699 0.712 0.383
B: 0.000 0.622 0.958
B: 0.000 0.351 0.196
B: 0.000 0.851 0.304
B: 0.301 0.288 0.617
B: 0.000 0.649 0.804
B: 0.000 0.955 0.808
Pm: 0.500 0.697 0.138
Pm: 0.500 0.303 0.862
Pm: 0.500 0.197 0.362
Pm: 0.500 0.803 0.638
Al: 0.000 0.500 0.500
Al: 0.000 0.000 0.000

Results
ρ, g/cm3: 5.17
Formation energy from the elements, kcal/mol of atoms: -10.16
Space group: Pbam, No. 55
VASP energy, eV/atom: -6.596
Total magnetic moment, μB per formula unit: 0.00